# 1
The following is a DFT calculation (PBE) of La2DyAs3Pt4 after structural relaxation.

a b c (Å): 4.348 4.348 11.300
angles (deg): 90.00 90.00 90.00
Positions (direct):
La 0.000 0.500 0.217
La 0.500 0.000 0.783
Dy 0.000 0.000 0.500
As 0.000 0.500 0.874
As 0.500 0.000 0.126
As 0.500 0.500 0.500
Pt 0.000 0.000 0.000
Pt 0.000 0.500 0.655
Pt 0.500 0.000 0.345
Pt 0.500 0.500 0.000

- E: -6.266 eV per atom
- Space group: P-4m2 (115)


# 2
The following is a DFT calculation (PBE) of TbMgBeAg after structural relaxation.

a b c (Å): 4.805 4.805 4.805
angles (deg): 60.00 60.00 60.00
Positions (direct):
Tb 0.000 0.000 0.000
Mg 0.500 0.500 0.500
Be 0.750 0.750 0.750
Ag 0.250 0.250 0.250

- E: -3.257 eV per atom
- Space group: F-43m (216)


# 3
The following is a DFT calculation (PBE) of TbNdSi2 after structural relaxation.

a b c (Å): 5.888 5.888 5.888
angles (deg): 46.69 46.69 46.69
Positions (direct):
Tb 0.000 0.000 0.000
Nd 0.500 0.500 0.500
Si 0.257 0.257 0.257
Si 0.743 0.743 0.743

- E: -5.537 eV per atom
- Space group: R-3m (166)
- Polymorph energy (0 for the lowest one): 307 meV/atom


# 4
The following is a DFT calculation (PBE) of BiHPd2Rh after structural relaxation.

a b c (Å): 4.193 4.193 4.065
angles (deg): 90.00 90.00 90.00
Positions (direct):
Bi 0.000 0.000 0.000
H 0.500 0.500 0.500
Pd 0.000 0.500 0.500
Pd 0.500 0.000 0.500
Rh 0.500 0.500 0.000

- E: -5.127 eV per atom
- Space group: P4/mmm (123)


# 5
The following is a DFT calculation (PBE) of Na2GaGe2 after structural relaxation.

a b c (Å): 8.294 8.294 3.290
angles (deg): 90.00 90.00 90.00
Positions (direct):
Na 0.192 0.308 0.000
Na 0.308 0.808 0.000
Na 0.692 0.192 0.000
Na 0.808 0.692 0.000
Ga 0.000 0.000 0.500
Ga 0.500 0.500 0.500
Ge 0.104 0.604 0.500
Ge 0.396 0.104 0.500
Ge 0.604 0.896 0.500
Ge 0.896 0.396 0.500

- E: -2.887 eV per atom
- Space group: P4/mbm (127)
- Polymorph energy (0 for the lowest one): 228 meV/atom


# 6
The following is a DFT calculation (PBE) of Sb2TeRuCl after structural relaxation.

a b c (Å): 5.172 5.172 5.227
angles (deg): 90.00 90.00 90.00
Positions (direct):
Sb 0.000 0.500 0.000
Sb 0.500 0.000 0.000
Te 0.000 0.000 0.500
Ru 0.000 0.000 0.000
Cl 0.500 0.500 0.500

- E: -4.190 eV per atom
- Space group: P4/mmm (123)
- Polymorph energy (0 for the lowest one): 0 meV/atom


# 7
The following is a DFT calculation (PBE) of K2CaTl12Cd3 after structural relaxation.

a b c (Å): 12.010 12.010 12.010
angles (deg): 40.00 40.00 40.00
Positions (direct):
K 0.153 0.153 0.153
K 0.847 0.847 0.847
Ca 0.500 0.500 0.500
Tl 0.084 0.084 0.686
Tl 0.084 0.686 0.084
Tl 0.144 0.567 0.567
Tl 0.314 0.916 0.916
Tl 0.433 0.433 0.856
Tl 0.433 0.856 0.433
Tl 0.567 0.144 0.567
Tl 0.567 0.567 0.144
Tl 0.686 0.084 0.084
Tl 0.856 0.433 0.433
Tl 0.916 0.314 0.916
Tl 0.916 0.916 0.314
Cd 0.000 0.500 0.500
Cd 0.500 0.000 0.500
Cd 0.500 0.500 0.000

- E: -1.922 eV per atom
- Space group: R-3m (166)


# 8
The following is a DFT calculation (PBE) of Tl3CoCl4 after structural relaxation.

a b c (Å): 7.712 7.712 7.712
angles (deg): 125.65 125.65 80.47
Positions (direct):
Tl 0.000 0.000 0.000
Tl 0.250 0.750 0.500
Tl 0.750 0.250 0.500
Co 0.500 0.500 0.000
Cl 0.202 0.202 0.595
Cl 0.393 0.798 0.000
Cl 0.607 0.607 0.405
Cl 0.798 0.393 0.000

- E: -3.345 eV per atom
- Space group: I-42m (121)


Question: Among the records above, which one has the highest E?
Answer: K2CaTl12Cd3


Question: Which of these has the highest E?
Answer: K2CaTl12Cd3


Repeat the fourth record exactly.
The following is a DFT calculation (PBE) of BiHPd2Rh after structural relaxation.

a b c (Å): 4.193 4.193 4.065
angles (deg): 90.00 90.00 90.00
Positions (direct):
Bi 0.000 0.000 0.000
H 0.500 0.500 0.500
Pd 0.000 0.500 0.500
Pd 0.500 0.000 0.500
Rh 0.500 0.500 0.000

- E: -5.127 eV per atom
- Space group: P4/mmm (123)